(1)
The following is a DFT calculation (PBE-GGA) of a relaxed ZnMo2Ir crystal.

```
ZnMo2Ir
1.0
-2.979 -3.436 1.279
3.455 -2.079 2.462
-0.711 1.441 2.215
Ir Mo Zn
1 2 1
direct
0.000 0.500 0.500
0.000 0.000 0.000
0.500 0.500 0.000
0.500 0.000 0.500
```

Summary:
Symmetry = No. 123
Total energy = -31.0 eV for the cell shown

(2)
The following is a DFT calculation (PBE-GGA) of a relaxed ZnMo2Ir crystal.

```
ZnMo2Ir
1.0
-0.623 3.184 -8.621
-1.646 0.617 -9.042
-3.331 2.666 -8.164
Ir Mo Zn
1 2 1
direct
0.749 0.749 0.749
0.005 0.005 0.005
0.249 0.249 0.249
0.498 0.498 0.498
```

Summary:
Symmetry = No. 160
Total energy = -31.5 eV for the cell shown

(3)
The following is a DFT calculation (PBE-GGA) of a relaxed Zn2MoIr crystal.

```
Zn2MoIr
1.0
4.724 -0.001 0.010
3.891 2.678 0.010
0.887 0.276 4.675
Ir Mo Zn
1 1 2
direct
0.250 0.250 0.250
0.750 0.750 0.750
0.996 0.996 0.006
0.504 0.504 0.494
```

Summary:
Relative energy among the computed polymorphs = 62.4 kJ/mol of formula units
Symmetry = No. 12
Total energy = -22.2 eV for the cell shown

(4)
The following is a DFT calculation (PBE-GGA) of a relaxed Zn2MoIr crystal.

```
Zn2MoIr
1.0
-2.616 -2.438 1.047
1.900 -2.086 -0.111
3.209 -1.166 5.303
Ir Mo Zn
1 1 2
direct
0.000 0.485 0.513
0.500 0.768 0.732
0.000 0.986 0.015
0.500 0.261 0.240
```

Summary:
Relative energy among the computed polymorphs = 28.0 kJ/mol of formula units
Symmetry = No. 6
Total energy = -22.6 eV for the cell shown

(5)
The following is a DFT calculation (PBE-GGA) of a relaxed ZnMoIr2 crystal.

```
ZnMoIr2
1.0
-1.060 -0.383 2.573
3.436 -0.639 1.320
0.607 5.456 1.063
Mo Ir Zn
1 2 1
direct
0.500 0.500 0.250
0.000 0.000 0.998
0.000 0.000 0.502
0.500 0.500 0.750
```

Summary:
Symmetry = No. 47
Total energy = -30.7 eV for the cell shown

(6)
The following is a DFT calculation (PBE-GGA) of a relaxed Zn2MoIr crystal.

```
Zn2MoIr
1.0
2.775 0.000 0.000
0.000 3.954 0.000
0.000 0.000 5.367
Ir Mo Zn
1 1 2
direct
0.500 0.500 0.250
0.500 0.500 0.750
0.000 0.000 0.009
0.000 0.000 0.491
```

Summary:
Relative energy among the computed polymorphs = 105.9 kJ/mol of formula units
Symmetry = No. 47
Total energy = -21.8 eV for the cell shown

(7)
The following is a DFT calculation (PBE-GGA) of a relaxed Zn2MoIr crystal.

```
Zn2MoIr
1.0
-1.819 0.355 -3.979
0.451 -2.682 -0.445
-4.297 -1.657 1.816
Ir Mo Zn
1 1 2
direct
0.500 0.250 0.250
0.500 0.750 0.750
0.000 0.076 0.001
0.000 0.424 0.499
```

Summary:
Relative energy among the computed polymorphs = 71.4 kJ/mol of formula units
Symmetry = No. 10
Total energy = -22.1 eV for the cell shown

(8)
The following is a DFT calculation (PBE-GGA) of a relaxed ZnMo2Ir crystal.

```
ZnMo2Ir
1.0
-2.050 2.429 0.442
-2.465 -1.981 -0.544
-0.255 -1.261 5.744
Ir Mo Zn
1 2 1
direct
0.500 0.500 0.733
0.000 0.000 0.015
0.500 0.500 0.247
0.000 0.000 0.505
```

Summary:
Symmetry = No. 99
Total energy = -31.6 eV for the cell shown

(9)
The following is a DFT calculation (PBE-GGA) of a relaxed ZnMo2Ir crystal.

```
ZnMo2Ir
1.0
-2.655 -0.576 -4.000
2.832 -1.026 -3.783
-0.331 -1.888 4.440
Ir Mo Zn
1 2 1
direct
0.750 0.250 0.500
0.000 0.000 0.000
0.250 0.750 0.500
0.500 0.500 0.000
```

Summary:
Symmetry = No. 119
Total energy = -31.6 eV for the cell shown

(10)
The following is a DFT calculation (PBE-GGA) of a relaxed Zn2MoIr crystal.

```
Zn2MoIr
1.0
-4.004 0.516 -3.258
-0.051 -2.955 -4.263
0.007 0.189 5.184
Ir Mo Zn
1 1 2
direct
0.503 0.503 0.000
0.253 0.753 0.500
0.993 0.993 0.000
0.751 0.251 0.500
```

Summary:
Relative energy among the computed polymorphs = 74.0 kJ/mol of formula units
Symmetry = No. 44
Total energy = -22.1 eV for the cell shown

(11)
The following is a DFT calculation (PBE-GGA) of a relaxed Zn2MoIr crystal.

```
Zn2MoIr
1.0
2.712 0.006 0.000
-1.032 2.508 0.000
0.000 0.000 8.731
Ir Mo Zn
1 1 2
direct
0.500 0.500 0.250
0.500 0.500 0.750
0.000 0.000 0.007
0.000 0.000 0.493
```

Summary:
Relative energy among the computed polymorphs = 97.5 kJ/mol of formula units
Symmetry = No. 65
Total energy = -21.8 eV for the cell shown

(12)
The following is a DFT calculation (PBE-GGA) of a relaxed Zn3MoIr crystal.

```
Zn3MoIr
1.0
-0.944 -4.155 -1.854
4.459 -0.469 -1.219
0.903 -2.027 4.083
Mo Ir Zn
1 1 3
direct
0.500 0.500 0.500
0.000 0.000 0.000
0.000 0.500 0.000
0.000 0.000 0.500
0.500 0.000 0.000
```

Summary:
Relative energy among the computed polymorphs = 0.0 kJ/mol of formula units
Symmetry = No. 221
Total energy = -18.0 eV for the cell shown